A plane-wave DFT calculation with PBE was carried out for a relaxed CsBa3Co crystal.

Computed properties:
Calculated density ... 3.71 g cm⁻³
DFT formation energy ... 1.367 eV per atom
Electronic total energy ... -6.90 eV per cell
Energy relative to the lowest polymorph listed for this composition ... 1043 meV/atom
Symmetry ... Pm-3m (221)

abc: 6.4657 6.4657 6.4657
angles: 90.00 90.00 90.00
Closest atoms and distances in Å follow each position.
Fractional coordinates of all 5 atoms:
Cs 0.0000 0.0000 0.0000  6 Ba 3.23
Ba 0.0000 0.0000 0.5000  2 Cs 3.23
Ba 0.0000 0.5000 0.0000  2 Cs 3.23
Ba 0.5000 0.0000 0.0000  2 Cs 3.23
Co 0.5000 0.5000 0.5000  12 Ba 4.57

***

A plane-wave DFT calculation with PBE was carried out for a relaxed CsBaCo3 crystal.

Computed properties:
Calculated density ... 6.02 g cm⁻³
DFT formation energy ... 1.884 eV per atom
Electronic total energy ... -14.67 eV per cell
Energy relative to the lowest polymorph listed for this composition ... 54 meV/atom
Symmetry ... Pm-3m (221)

abc: 4.9771 4.9771 4.9771
angles: 90.00 90.00 90.00
Closest atoms and distances in Å follow each position.
Fractional coordinates of all 5 atoms:
Cs 0.0000 0.0000 0.0000  6 Co 2.49
Ba 0.5000 0.5000 0.5000  12 Co 3.52
Co 0.0000 0.0000 0.5000  2 Cs 2.49
Co 0.0000 0.5000 0.0000  2 Cs 2.49
Co 0.5000 0.0000 0.0000  2 Cs 2.49